# Li2Ho3NpSe6 PBE relaxed
# Density (Mg/m³): 7.18
# E_form (uncorrected) (eV per formula unit): -18.96
# Magnetization (μB/atom): 0.395
# Density of states at the Fermi level (states/eV per cell): 26.7
data_Li2Ho3NpSe6
_cell_length_a 17.665
_cell_length_b 4.046
_cell_length_c 8.113
_cell_angle_alpha 90.00
_cell_angle_beta 103.30
_cell_angle_gamma 90.00
_space_group_name_H-M_alt 'C 1 2/m 1'
_space_group_IT_number 12
loop_
_space_group_symop_operation_xyz
'x,y,z'
'-x,-y,-z'
'-x,y,-z'
'x,-y,z'
'x+1/2,y+1/2,z'
'-x+1/2,-y+1/2,-z'
'-x+1/2,y+1/2,-z'
'x+1/2,-y+1/2,z'
loop_
_atom_site_label
_atom_site_fract_x
_atom_site_fract_y
_atom_site_fract_z
Li1 0.176 0.000 0.353
Ho1 0.000 0.500 0.500
Ho2 0.166 0.000 0.834
Np1 0.000 0.500 0.000
Se1 0.003 0.000 0.255
Se2 0.167 0.500 0.584
Se3 0.169 0.500 0.090